Entry 1:
Below is a relaxed TiNbAsI2 crystal, with properties calculated at the PBE-GGA level.

The structure in POSCAR format:
```
TiNbAsI2
1.0
5.666 0.000 0.000
0.000 5.666 0.000
0.000 0.000 4.935
I Nb As Ti
2 1 1 1
Cartesian
0.000 2.833 0.000
2.833 0.000 0.000
0.000 0.000 0.000
0.000 0.000 2.468
2.833 2.833 2.468
```

- Fermi-level density of states: 6.421 states/eV/cell

=====

Entry 2:
Below is a relaxed Nd2AsI crystal, with properties calculated at the PBE-GGA level.

The structure in POSCAR format:
```
Nd2AsI
1.0
4.247 0.000 0.000
2.123 3.678 0.000
2.123 1.226 7.835
Nd As I
2 1 1
Cartesian
2.123 1.226 6.262
2.123 1.226 1.579
6.370 3.678 7.807
4.247 2.452 3.938
```

- Fermi-level density of states: 1.062 states/eV/cell

=====

Entry 3:
Below is a relaxed Nd4As3I crystal, with properties calculated at the PBE-GGA level.

The structure in POSCAR format:
```
Nd4As3I
1.0
-0.479 3.039 3.005
-7.466 -0.180 -1.008
-2.982 -5.098 4.681
I As Nd
1 3 4
Cartesian
-6.956 -3.669 5.679
-1.731 -1.029 3.842
-3.462 -2.059 7.686
-5.704 0.400 4.841
-8.440 -0.784 5.603
-6.715 0.044 1.962
-2.968 1.584 4.080
-4.214 -2.284 4.715
```

- Fermi-level density of states: 2.860 states/eV/cell

=====

Entry 4:
Below is a relaxed Nd3As2I crystal, with properties calculated at the PBE-GGA level.

The structure in POSCAR format:
```
Nd3As2I
1.0
4.327 0.000 0.000
-2.164 3.748 0.000
0.000 0.000 22.110
Nd As I
6 4 2
Cartesian
0.000 0.000 0.000
0.000 2.498 3.165
0.000 2.498 7.890
0.000 0.000 11.055
2.164 1.249 14.220
2.164 1.249 18.945
0.000 2.498 20.394
2.164 1.249 1.716
2.164 1.249 9.339
0.000 2.498 12.771
0.000 0.000 5.527
0.000 0.000 16.582
```

- Fermi-level density of states: 5.656 states/eV/cell

=====

Entry 5:
Below is a relaxed Nd2AsI3 crystal, with properties calculated at the PBE-GGA level.

The structure in POSCAR format:
```
Nd2AsI3
1.0
-2.747 -3.253 1.975
5.258 -7.831 -0.008
4.544 -0.721 10.711
Nd As I
4 2 6
Cartesian
3.817 -7.097 10.351
3.239 -4.708 2.326
2.201 -4.321 7.099
4.854 -7.484 5.578
4.531 -5.803 7.899
2.524 -6.002 4.778
4.025 -1.823 8.174
3.030 -9.982 4.503
6.359 -8.314 11.883
0.696 -3.491 0.794
5.141 -9.598 8.074
1.914 -2.208 4.603
```

=====

Entry 6:
Below is a relaxed Nd5As4I crystal, with properties calculated at the PBE-GGA level.

The structure in POSCAR format:
```
Nd5As4I
1.0
4.188 0.000 0.957
1.772 7.051 1.889
-0.012 -0.044 9.700
Nd As I
5 4 1
Cartesian
2.471 6.336 8.475
3.477 0.670 4.071
2.220 2.395 9.574
0.880 3.503 5.795
3.728 4.611 2.972
2.844 1.410 6.843
1.546 2.680 2.876
4.402 4.326 9.670
3.104 5.596 5.702
0.000 0.000 0.000
```

- Fermi-level density of states: 3.617 states/eV/cell

=====

Number 1: formation energy without anion corrections 0.63 eV per atom, electronic total energy -22.59 eV for the cell shown. Number 2: formation energy without anion corrections -1.31 eV per atom, electronic total energy -20.96 eV for the cell shown. Number 3: formation energy without anion corrections -1.40 eV per atom, electronic total energy -45.79 eV for the cell shown. Number 4: formation energy without anion corrections -1.39 eV per atom, electronic total energy -66.96 eV for the cell shown. Number 5: formation energy without anion corrections -1.34 eV per atom, electronic total energy -53.78 eV for the cell shown. Number 6: formation energy without anion corrections -1.44 eV per atom, electronic total energy -58.43 eV for the cell shown.